Entry 1:
Here is a relaxed ScSe2Br crystal from the Alexandria database. Energies are from GGA-PBEsol.

Cell lengths 3.546, 3.546, 9.200 Å; angles 78.89, 78.89, 60.00 degrees
Last column: magnetic moment on the atom in μB.
Positions (direct):
Se (0.981, 0.981, 0.058)  0.02
Se (0.741, 0.741, 0.778)  0.17
Sc (0.255, 0.255, 0.234)  0.03
Br (0.523, 0.523, 0.430)  0.01

Results
M_tot = 0.36 μB per formula unit
Formation energy (no corrections) = -3.00 eV/f.u.
Relative energy among the computed polymorphs = 0.385 eV/atom

---

Entry 2:
Here is a relaxed ScSeBr2 crystal from the Alexandria database. Energies are from GGA-PBEsol.

Cell lengths 3.225, 3.225, 8.901 Å; angles 90.00, 90.00, 90.00 degrees
Positions (direct):
Br (0.000, 0.000, 0.181)
Br (0.000, 0.000, 0.819)
Sc (0.500, 0.500, 0.000)
Se (0.500, 0.500, 0.500)

Results
M_tot = 0.00 μB per formula unit
Formation energy (no corrections) = -3.22 eV/f.u.
Relative energy among the computed polymorphs = 0.044 eV/atom

---

Entry 3:
Here is a relaxed ScSiSeBr2 crystal from the Alexandria database. Energies are from GGA-PBEsol.

Cell lengths 4.937, 4.937, 5.071 Å; angles 90.00, 90.00, 90.00 degrees
Last column: magnetic moment on the atom in μB.
Positions (direct):
Br (0.000, 0.500, 0.000)  -0.01
Br (0.500, 0.000, 0.000)  -0.01
Si (0.000, 0.000, 0.000)  -0.01
Se (0.000, 0.000, 0.500)  -0.04
Sc (0.500, 0.500, 0.500)  0.85

Results
M_tot = 1.10 μB per formula unit
Formation energy (no corrections) = -0.75 eV/f.u.

---

Entry 4:
Here is a relaxed ScTcSe2Br crystal from the Alexandria database. Energies are from GGA-PBEsol.

Cell lengths 4.790, 4.790, 4.971 Å; angles 90.00, 90.00, 90.00 degrees
Last column: magnetic moment on the atom in μB.
Positions (direct):
Se (0.000, 0.500, 0.000)  0.00
Se (0.500, 0.000, 0.000)  0.00
Tc (0.000, 0.000, 0.000)  0.30
Br (0.000, 0.000, 0.500)  0.00
Sc (0.500, 0.500, 0.500)  0.20

Results
M_tot = 0.60 μB per formula unit
Formation energy (no corrections) = 0.06 eV/f.u.

---

Entry 5:
Here is a relaxed ScTeSe2Br crystal from the Alexandria database. Energies are from GGA-PBEsol.

Cell lengths 4.936, 5.186, 5.186 Å; angles 90.00, 90.00, 90.00 degrees
Positions (direct):
Br (0.500, 0.000, 0.000)
Se (0.000, 0.500, 0.000)
Se (0.000, 0.000, 0.500)
Sc (0.000, 0.000, 0.000)
Te (0.500, 0.500, 0.500)

Results
M_tot = 0.00 μB per formula unit
Formation energy (no corrections) = -2.38 eV/f.u.

---

Entry 6:
Here is a relaxed ScTiSe2Br crystal from the Alexandria database. Energies are from GGA-PBEsol.

Cell lengths 4.835, 4.925, 4.925 Å; angles 90.00, 90.00, 90.00 degrees
Last column: magnetic moment on the atom in μB.
Positions (direct):
Se (0.000, 0.500, 0.000)  -0.04
Se (0.000, 0.000, 0.500)  -0.04
Br (0.500, 0.000, 0.000)  -0.01
Sc (0.500, 0.500, 0.500)  0.67
Ti (0.000, 0.000, 0.000)  0.30

Results
M_tot = 1.20 μB per formula unit
Formation energy (no corrections) = -3.09 eV/f.u.

---

Entry 7:
Here is a relaxed ScWSe2Br crystal from the Alexandria database. Energies are from GGA-PBEsol.

Cell lengths 4.871, 5.125, 5.125 Å; angles 90.00, 90.00, 90.00 degrees
Last column: magnetic moment on the atom in μB.
Positions (direct):
Sc (0.000, 0.000, 0.000)  0.03
Br (0.500, 0.000, 0.000)  0.04
Se (0.000, 0.000, 0.500)  -0.16
Se (0.000, 0.500, 0.000)  -0.16
W (0.500, 0.500, 0.500)  3.22

Results
M_tot = 4.01 μB per formula unit
Formation energy (no corrections) = 2.61 eV/f.u.

---

Entry 8:
Here is a relaxed ScWSeBr2 crystal from the Alexandria database. Energies are from GGA-PBEsol.

Cell lengths 4.863, 5.044, 5.044 Å; angles 90.00, 90.00, 90.00 degrees
Last column: magnetic moment on the atom in μB.
Positions (direct):
Sc (0.500, 0.500, 0.500)  0.91
W (0.000, 0.000, 0.000)  0.89
Br (0.000, 0.000, 0.500)  0.02
Br (0.000, 0.500, 0.000)  0.02
Se (0.500, 0.000, 0.000)  -0.03

Results
M_tot = 2.51 μB per formula unit
Formation energy (no corrections) = 1.76 eV/f.u.

---

Entry 9:
Here is a relaxed ScZnSeBr2 crystal from the Alexandria database. Energies are from GGA-PBEsol.

Cell lengths 5.127, 5.127, 5.271 Å; angles 90.00, 90.00, 90.00 degrees
Positions (direct):
Zn (0.500, 0.500, 0.500)
Sc (0.000, 0.000, 0.000)
Br (0.500, 0.000, 0.000)
Br (0.000, 0.500, 0.000)
Se (0.000, 0.000, 0.500)

Results
M_tot = 0.00 μB per formula unit
Formation energy (no corrections) = -3.63 eV/f.u.

---

Entry 10:
Here is a relaxed ScSiBr2 crystal from the Alexandria database. Energies are from GGA-PBEsol.

Cell lengths 3.963, 3.963, 6.091 Å; angles 108.98, 108.98, 90.00 degrees
Positions (direct):
Sc (0.500, 0.500, 0.000)
Br (0.750, 0.250, 0.500)
Br (0.000, 0.000, 0.000)
Si (0.250, 0.750, 0.500)

Results
M_tot = 0.00 μB per formula unit
Formation energy (no corrections) = -0.97 eV/f.u.
Relative energy among the computed polymorphs = 0.499 eV/atom

---

Which formula does entry 5 have? ScTeSe2Br